## 1
This record from Alexandria describes crystalline ScSbNF2 at its relaxed geometry. The functional is GGA-PBE.

Summary:
**V**: 85 Å³ per cell
**Theoretical density**: 4.26 g/cm³
**Density of states at the Fermi level**: 0.5297 states/eV/atom
**Magnetization**: 0.217 μB/atom

abc: 4.419 4.419 4.368
angles: 90.00 90.00 90.00
Fractional positions:
Sc 0.000 0.000 0.000
Sb 0.500 0.500 0.500
N 0.500 0.500 0.000
F 0.000 0.500 0.500
F 0.500 0.000 0.500

***

## 2
This record from Alexandria describes crystalline ScSbNF2 at its relaxed geometry. The functional is GGA-PBE.

Summary:
**V**: 74 Å³ per cell
**Theoretical density**: 4.88 g/cm³
**Density of states at the Fermi level**: 0.1399 states/eV/atom
**Magnetization**: 0.187 μB/atom

abc: 4.006 4.006 4.638
angles: 90.00 90.00 90.00
Fractional positions:
Sc 0.000 0.000 0.000
Sb 0.500 0.500 0.500
N 0.000 0.000 0.500
F 0.000 0.500 0.000
F 0.500 0.000 0.000

***

We find 2 to be the most stable, with the next structure 919 meV/atom higher.

***

## 1
This record from Alexandria describes crystalline SiSbNF2 at its relaxed geometry. The functional is GGA-PBE.

Summary:
**V**: 81 Å³ per cell
**Theoretical density**: 4.13 g/cm³
**Density of states at the Fermi level**: 0.2645 states/eV/atom
**Magnetization**: 0.000 μB/atom

abc: 4.401 4.401 4.189
angles: 90.00 90.00 90.00
Fractional positions:
Si 0.000 0.000 0.000
Sb 0.500 0.500 0.500
N 0.500 0.500 0.000
F 0.000 0.500 0.500
F 0.500 0.000 0.500

***

## 2
This record from Alexandria describes crystalline SiSbNF2 at its relaxed geometry. The functional is GGA-PBE.

Summary:
**V**: 68 Å³ per cell
**Theoretical density**: 4.94 g/cm³
**Density of states at the Fermi level**: 0.2190 states/eV/atom
**Magnetization**: 0.000 μB/atom

abc: 4.558 4.558 3.267
angles: 90.00 90.00 90.00
Fractional positions:
Si 0.000 0.000 0.000
Sb 0.500 0.500 0.500
N 0.000 0.000 0.500
F 0.000 0.500 0.000
F 0.500 0.000 0.000

***

We find 2 to be the most stable, with the next structure 556 meV/atom higher.

***

## 1
This record from Alexandria describes crystalline SnSbN2F at its relaxed geometry. The functional is GGA-PBE.

Summary:
**V**: 72 Å³ per cell
**Theoretical density**: 6.61 g/cm³
**Density of states at the Fermi level**: 0.1895 states/eV/atom
**Magnetization**: 0.000 μB/atom

abc: 4.216 4.216 4.065
angles: 90.00 90.00 90.00
Fractional positions:
Sn 0.000 0.000 0.000
Sb 0.500 0.500 0.500
N 0.000 0.500 0.000
N 0.500 0.000 0.000
F 0.000 0.000 0.500

***

## 2
This record from Alexandria describes crystalline SnSbN2F at its relaxed geometry. The functional is GGA-PBE.

Summary:
**V**: 74 Å³ per cell
**Theoretical density**: 6.46 g/cm³
**Density of states at the Fermi level**: 0.2907 states/eV/atom
**Magnetization**: 0.018 μB/atom

abc: 4.168 4.168 4.255
angles: 90.00 90.00 90.00
Fractional positions:
Sn 0.000 0.000 0.000
Sb 0.500 0.500 0.500
N 0.000 0.500 0.500
N 0.500 0.000 0.500
F 0.500 0.500 0.000

***

We find 2 to be the most stable, with the next structure 80 meV/atom higher.

***

## 1
This record from Alexandria describes crystalline TaSbN2F at its relaxed geometry. The functional is GGA-PBE.

Summary:
**V**: 70 Å³ per cell
**Theoretical density**: 8.35 g/cm³
**Density of states at the Fermi level**: 0.5631 states/eV/atom
**Magnetization**: 0.498 μB/atom

abc: 4.171 4.171 3.997
angles: 90.00 90.00 90.00
Fractional positions:
Ta 0.000 0.000 0.000
Sb 0.500 0.500 0.500
N 0.000 0.500 0.500
N 0.500 0.000 0.500
F 0.500 0.500 0.000

***

## 2
This record from Alexandria describes crystalline TaSbN2F at its relaxed geometry. The functional is GGA-PBE.

Summary:
**V**: 70 Å³ per cell
**Theoretical density**: 8.31 g/cm³
**Density of states at the Fermi level**: 0.5990 states/eV/atom
**Magnetization**: 0.000 μB/atom

abc: 4.149 4.149 4.061
angles: 90.00 90.00 90.00
Fractional positions:
Ta 0.000 0.000 0.000
Sb 0.500 0.500 0.500
N 0.000 0.500 0.000
N 0.500 0.000 0.000
F 0.000 0.000 0.500

***

We find 2 to be the most stable, with the next structure 1331 meV/atom higher.

***

## 1
This record from Alexandria describes crystalline TcSbN2F at its relaxed geometry. The functional is GGA-PBE.

Summary:
**V**: 70 Å³ per cell
**Theoretical density**: 6.30 g/cm³
**Density of states at the Fermi level**: 0.2882 states/eV/atom
**Magnetization**: 0.920 μB/atom

abc: 4.125 4.125 4.134
angles: 90.00 90.00 90.00
Fractional positions:
Tc 0.000 0.000 0.000
Sb 0.500 0.500 0.500
N 0.000 0.500 0.500
N 0.500 0.000 0.500
F 0.500 0.500 0.000

***

## 2
This record from Alexandria describes crystalline TcSbN2F at its relaxed geometry. The functional is GGA-PBE.

Summary:
**V**: 65 Å³ per cell
**Theoretical density**: 6.77 g/cm³
**Density of states at the Fermi level**: 0.5315 states/eV/atom
**Magnetization**: 0.000 μB/atom

abc: 3.956 3.956 4.178
angles: 90.00 90.00 90.00
Fractional positions:
Tc 0.000 0.000 0.000
Sb 0.500 0.500 0.500
N 0.000 0.500 0.000
N 0.500 0.000 0.000
F 0.000 0.000 0.500

***

## 3
This record from Alexandria describes crystalline TcSbN2F at its relaxed geometry. The functional is GGA-PBE.

Summary:
**V**: 79 Å³ per cell
**Theoretical density**: 5.61 g/cm³
**Density of states at the Fermi level**: 0.6080 states/eV/atom
**Magnetization**: 0.000 μB/atom

abc: 3.782 3.782 5.522
angles: 90.00 90.00 90.00
Fractional positions:
Tc 0.000 0.000 0.000
Sb 0.000 0.000 0.500
N 0.000 0.500 0.000
N 0.500 0.000 0.000
F 0.500 0.500 0.500

***

We find 3 to be the most stable, with the next structure 80 meV/atom higher.

***

## 1
This record from Alexandria describes crystalline SbTe2NF at its relaxed geometry. The functional is GGA-PBE.

Summary:
**V**: 133 Å³ per cell
**Theoretical density**: 5.11 g/cm³
**Density of states at the Fermi level**: 1.4049 states/eV/atom
**Magnetization**: 0.210 μB/atom

abc: 5.877 5.877 3.855
angles: 90.00 90.00 90.00
Fractional positions:
Sb 0.000 0.000 0.000
Te 0.000 0.500 0.000
Te 0.500 0.000 0.000
N 0.000 0.000 0.500
F 0.500 0.500 0.500

***

## 2
This record from Alexandria describes crystalline SbTe2NF at its relaxed geometry. The functional is GGA-PBE.

Summary:
**V**: 104 Å³ per cell
**Theoretical density**: 6.53 g/cm³
**Density of states at the Fermi level**: 0.8690 states/eV/atom
**Magnetization**: 0.000 μB/atom

abc: 4.881 4.881 4.373
angles: 90.00 90.00 90.00
Fractional positions:
Sb 0.000 0.000 0.000
Te 0.000 0.500 0.500
Te 0.500 0.000 0.500
N 0.500 0.500 0.000
F 0.500 0.500 0.500

***

We find 1 to be the most stable, with the next structure 211 meV/atom higher.

***

## 1
This record from Alexandria describes crystalline SbTeNF2 at its relaxed geometry. The functional is GGA-PBE.

Summary:
**V**: 87 Å³ per cell
**Theoretical density**: 5.76 g/cm³
**Density of states at the Fermi level**: 0.7645 states/eV/atom
**Magnetization**: 0.079 μB/atom

abc: 4.289 4.289 4.721
angles: 90.00 90.00 90.00
Fractional positions:
Sb 0.000 0.000 0.000
Te 0.500 0.500 0.500
N 0.000 0.000 0.500
F 0.000 0.500 0.000
F 0.500 0.000 0.000

***

## 2
This record from Alexandria describes crystalline SbTeNF2 at its relaxed geometry. The functional is GGA-PBE.

Summary:
**V**: 88 Å³ per cell
**Theoretical density**: 5.69 g/cm³
**Density of states at the Fermi level**: 0.6647 states/eV/atom
**Magnetization**: 0.098 μB/atom

abc: 4.544 4.544 4.263
angles: 90.00 90.00 90.00
Fractional positions:
Sb 0.000 0.000 0.000
Te 0.500 0.500 0.500
N 0.500 0.500 0.000
F 0.000 0.500 0.500
F 0.500 0.000 0.500

***

We find 1 to be the most stable, with the next structure 276 meV/atom higher.

***

## 1
This record from Alexandria describes crystalline TlSbNF2 at its relaxed geometry. The functional is GGA-PBE.

Summary:
**V**: 89 Å³ per cell
**Theoretical density**: 7.09 g/cm³
**Density of states at the Fermi level**: 0.0075 states/eV/atom
**Magnetization**: 0.000 μB/atom

abc: 4.673 4.673 4.053
angles: 90.00 90.00 90.00
Fractional positions:
Tl 0.000 0.000 0.000
Sb 0.500 0.500 0.500
N 0.500 0.500 0.000
F 0.000 0.500 0.500
F 0.500 0.000 0.500

***

## 2
This record from Alexandria describes crystalline TlSbNF2 at its relaxed geometry. The functional is GGA-PBE.

Summary:
**V**: 87 Å³ per cell
**Theoretical density**: 7.18 g/cm³
**Density of states at the Fermi level**: 0.4402 states/eV/atom
**Magnetization**: 0.000 μB/atom

abc: 4.512 4.512 4.293
angles: 90.00 90.00 90.00
Fractional positions:
Tl 0.000 0.000 0.000
Sb 0.500 0.500 0.500
N 0.000 0.000 0.500
F 0.000 0.500 0.000
F 0.500 0.000 0.000

***

We find 1 to be the most stable, with the next structure 769 meV/atom higher.